Ba2FeMoO6 | PBE with a Hubbard U | relaxed

## Properties
- total magnetic moment (μB/cell) = 4.00
- total DFT energy (no corrections) (eV/atom) = -6.824
- DOS at the Fermi energy (states/eV per cell) = 0.4
- distance to the lowest polymorph of the same formula (meV/atom) = 0.0
- symmetry = No. 166

Cell lengths 5.7619, 5.7619, 5.7619 Å; angles 60.49, 60.49, 60.49 degrees
Closest atoms and distances in Å follow each position.
Fractional positions:
Ba 0.2503 0.2503 0.2503  12 O 2.87-2.90
Ba 0.7497 0.7497 0.7497  12 O 2.87-2.90
Fe 0.0000 0.0000 0.0000  6 O 2.08
Mo 0.5000 0.5000 0.5000  6 O 2.01
O 0.2513 0.7458 0.7458  1 Mo 2.01, 1 Fe 2.08
O 0.2542 0.2542 0.7487  1 Mo 2.01, 1 Fe 2.08
O 0.2542 0.7487 0.2542  1 Mo 2.01, 1 Fe 2.08
O 0.7458 0.2513 0.7458  1 Mo 2.01, 1 Fe 2.08
O 0.7458 0.7458 0.2513  1 Mo 2.01, 1 Fe 2.08
O 0.7487 0.2542 0.2542  1 Mo 2.01, 1 Fe 2.08